Below is a relaxed structure of InRh2, with properties calculated at the GGA-PBE level.

It has space group Cmcm (No. 63), with a = 2.9646 Å, b = 14.0447 Å, c = 4.7052 Å, α = 90.00°, β = 90.00° and γ = 90.00°. The distinct sites, in fractional coordinates, are In at (0.0000, 0.2126, 0.2500), Rh at (0.0000, 0.1121, 0.7500) and Rh at (0.0000, 0.4506, 0.7500).

Its energy of formation from the pure elements is 0.0 eV per formula unit. As for the density of states at the Fermi level: 1.127 states/eV per atom. The energy comes out at -5.812 eV per atom.